--- i ---
Entry from Alexandria via LeMat-Bulk: an optimized crystal structure of CaReBi3 (GGA-PBE).

Lattice parameters (Å, degrees): 5.432 5.432 5.432 90.00 90.00 90.00
Positions (direct):
Ca 0.000 0.000 0.000
Re 0.500 0.500 0.500
Bi 0.000 0.500 0.500
Bi 0.500 0.000 0.500
Bi 0.500 0.500 0.000

Output
The density of states at the Fermi level comes out at 4.06 states/eV/cell.



--- ii ---
Entry from Alexandria via LeMat-Bulk: an optimized crystal structure of CaReBi3 (GGA-PBE).

Lattice parameters (Å, degrees): 5.578 5.578 5.578 90.00 90.00 90.00
Positions (direct):
Ca 0.000 0.000 0.000
Re 0.500 0.500 0.500
Bi 0.000 0.000 0.500
Bi 0.000 0.500 0.000
Bi 0.500 0.000 0.000

Output
The density of states at the Fermi level comes out at 27.17 states/eV/cell.



Energies, relative to the best one, in eV/atom: i 0.000; ii 1.464.



--- i ---
Entry from Alexandria via LeMat-Bulk: an optimized crystal structure of CaBi3Ru (GGA-PBE).

Lattice parameters (Å, degrees): 5.740 5.740 5.740 90.00 90.00 90.00
Positions (direct):
Ca 0.000 0.000 0.000
Bi 0.000 0.000 0.500
Bi 0.000 0.500 0.000
Bi 0.500 0.000 0.000
Ru 0.500 0.500 0.500

Output
The density of states at the Fermi level comes out at 11.26 states/eV/cell.



--- ii ---
Entry from Alexandria via LeMat-Bulk: an optimized crystal structure of CaBi3Ru (GGA-PBE).

Lattice parameters (Å, degrees): 5.378 5.378 5.378 90.00 90.00 90.00
Positions (direct):
Ca 0.000 0.000 0.000
Bi 0.000 0.500 0.500
Bi 0.500 0.000 0.500
Bi 0.500 0.500 0.000
Ru 0.500 0.500 0.500

Output
The density of states at the Fermi level comes out at 5.34 states/eV/cell.



Energies, relative to the best one, in eV/atom: i 1.228; ii 0.000.



--- i ---
Entry from Alexandria via LeMat-Bulk: an optimized crystal structure of Ca3BiRu (GGA-PBE).

Lattice parameters (Å, degrees): 5.380 5.380 5.380 90.00 90.00 90.00
Positions (direct):
Ca 0.000 0.000 0.500
Ca 0.000 0.500 0.000
Ca 0.500 0.000 0.000
Bi 0.500 0.500 0.500
Ru 0.000 0.000 0.000

Output
The density of states at the Fermi level comes out at 6.14 states/eV/cell.



--- ii ---
Entry from Alexandria via LeMat-Bulk: an optimized crystal structure of Ca3BiRu (GGA-PBE).

Lattice parameters (Å, degrees): 5.873 5.873 5.873 90.00 90.00 90.00
Positions (direct):
Ca 0.000 0.000 0.500
Ca 0.000 0.500 0.000
Ca 0.500 0.000 0.000
Bi 0.000 0.000 0.000
Ru 0.500 0.500 0.500

Output
The density of states at the Fermi level comes out at 13.96 states/eV/cell.



Energies, relative to the best one, in eV/atom: i 0.000; ii 0.680.



--- i ---
Entry from Alexandria via LeMat-Bulk: an optimized crystal structure of CaBiS3 (GGA-PBE).

Lattice parameters (Å, degrees): 5.131 5.131 5.131 90.00 90.00 90.00
Positions (direct):
Ca 0.000 0.000 0.000
Bi 0.500 0.500 0.500
S 0.000 0.000 0.500
S 0.000 0.500 0.000
S 0.500 0.000 0.000

Output
The density of states at the Fermi level comes out at 6.49 states/eV/cell.



--- ii ---
Entry from Alexandria via LeMat-Bulk: an optimized crystal structure of CaBiS3 (GGA-PBE).

Lattice parameters (Å, degrees): 5.186 5.186 5.186 90.00 90.00 90.00
Positions (direct):
Ca 0.000 0.000 0.000
Bi 0.500 0.500 0.500
S 0.000 0.500 0.500
S 0.500 0.000 0.500
S 0.500 0.500 0.000

Output
The density of states at the Fermi level comes out at 3.47 states/eV/cell.



--- iii ---
Entry from Alexandria via LeMat-Bulk: an optimized crystal structure of CaBiS3 (GGA-PBE).

Lattice parameters (Å, degrees): 7.367 4.219 15.867 90.00 90.00 90.00
Positions (direct):
Ca 0.096 0.250 0.207
Ca 0.404 0.750 0.707
Ca 0.596 0.250 0.293
Ca 0.904 0.750 0.793
Bi 0.179 0.750 0.429
Bi 0.321 0.250 0.929
Bi 0.679 0.750 0.071
Bi 0.821 0.250 0.571
S 0.044 0.750 0.611
S 0.059 0.750 0.972
S 0.176 0.250 0.777
S 0.324 0.750 0.277
S 0.441 0.250 0.472
S 0.456 0.250 0.111
S 0.544 0.750 0.889
S 0.559 0.750 0.528
S 0.676 0.250 0.723
S 0.824 0.750 0.223
S 0.941 0.250 0.028
S 0.956 0.250 0.389

Output
The density of states at the Fermi level comes out at 4.04 states/eV/cell.



Energies, relative to the best one, in eV/atom: i 0.890; ii 0.484; iii 0.000.



--- i ---
Entry from Alexandria via LeMat-Bulk: an optimized crystal structure of CaBi3S6 (GGA-PBE).

Lattice parameters (Å, degrees): 11.793 3.975 11.980 90.00 110.22 90.00
Positions (direct):
Ca 0.207 0.250 0.045
Ca 0.793 0.750 0.955
Bi 0.030 0.750 0.272
Bi 0.338 0.250 0.435
Bi 0.399 0.750 0.844
Bi 0.601 0.250 0.156
Bi 0.662 0.750 0.565
Bi 0.970 0.250 0.728
S 0.028 0.750 0.907
S 0.109 0.250 0.445
S 0.234 0.250 0.800
S 0.244 0.750 0.243
S 0.402 0.750 0.067
S 0.424 0.750 0.600
S 0.576 0.250 0.400
S 0.598 0.250 0.933
S 0.756 0.250 0.757
S 0.766 0.750 0.200
S 0.891 0.750 0.555
S 0.972 0.250 0.093

Output
The density of states at the Fermi level comes out at 10.68 states/eV/cell.



--- ii ---
Entry from Alexandria via LeMat-Bulk: an optimized crystal structure of CaBi3S6 (GGA-PBE).

Lattice parameters (Å, degrees): 7.511 7.511 7.511 56.49 56.49 56.49
Positions (direct):
Ca 0.000 0.000 0.000
Bi 0.202 0.202 0.202
Bi 0.507 0.507 0.507
Bi 0.706 0.706 0.706
S 0.107 0.804 0.401
S 0.316 0.596 0.904
S 0.401 0.107 0.804
S 0.596 0.904 0.316
S 0.804 0.401 0.107
S 0.904 0.316 0.596

Output
The density of states at the Fermi level comes out at 8.48 states/eV/cell.



Energies, relative to the best one, in eV/atom: i 0.000; ii 0.018.



--- i ---
Entry from Alexandria via LeMat-Bulk: an optimized crystal structure of Ca2BiS (GGA-PBE).

Lattice parameters (Å, degrees): 7.930 7.930 7.789 90.00 90.00 90.00
Positions (direct):
Ca 0.199 0.250 0.125
Ca 0.250 0.699 0.375
Ca 0.250 0.801 0.875
Ca 0.301 0.250 0.625
Ca 0.699 0.750 0.625
Ca 0.750 0.199 0.875
Ca 0.750 0.301 0.375
Ca 0.801 0.750 0.125
Bi 0.000 0.000 0.500
Bi 0.000 0.500 0.750
Bi 0.500 0.000 0.250
Bi 0.500 0.500 0.000
S 0.000 0.000 0.000
S 0.000 0.500 0.250
S 0.500 0.000 0.750
S 0.500 0.500 0.500

Output
The density of states at the Fermi level comes out at 17.23 states/eV/cell.



--- ii ---
Entry from Alexandria via LeMat-Bulk: an optimized crystal structure of Ca2BiS (GGA-PBE).

Lattice parameters (Å, degrees): 4.047 4.047 23.928 90.00 90.00 120.00
Positions (direct):
Ca 0.000 0.000 0.000
Ca 0.000 0.000 0.195
Ca 0.333 0.667 0.667
Ca 0.333 0.667 0.861
Ca 0.667 0.333 0.333
Ca 0.667 0.333 0.528
Bi 0.000 0.000 0.430
Bi 0.333 0.667 0.097
Bi 0.667 0.333 0.764
S 0.000 0.000 0.598
S 0.333 0.667 0.265
S 0.667 0.333 0.932

Output
The density of states at the Fermi level comes out at 2.19 states/eV/cell.



Energies, relative to the best one, in eV/atom: i 0.249; ii 0.000.



--- i ---
Entry from Alexandria via LeMat-Bulk: an optimized crystal structure of Ca2BiS (GGA-PBE).

Lattice parameters (Å, degrees): 4.079 4.079 23.431 90.00 90.00 120.00
Positions (direct):
Ca 0.000 0.000 0.236
Ca 0.000 0.000 0.764
Ca 0.333 0.667 0.431
Ca 0.333 0.667 0.903
Ca 0.667 0.333 0.097
Ca 0.667 0.333 0.569
Bi 0.000 0.000 0.000
Bi 0.333 0.667 0.667
Bi 0.667 0.333 0.333
S 0.000 0.000 0.500
S 0.333 0.667 0.167
S 0.667 0.333 0.833

Output
The density of states at the Fermi level comes out at 2.47 states/eV/cell.



--- ii ---
Entry from Alexandria via LeMat-Bulk: an optimized crystal structure of Ca2BiS (GGA-PBE).

Lattice parameters (Å, degrees): 7.570 7.570 7.570 90.00 90.00 90.00
Positions (direct):
Ca 0.250 0.250 0.250
Ca 0.250 0.250 0.750
Ca 0.250 0.750 0.250
Ca 0.250 0.750 0.750
Ca 0.750 0.250 0.250
Ca 0.750 0.250 0.750
Ca 0.750 0.750 0.250
Ca 0.750 0.750 0.750
Bi 0.000 0.000 0.000
Bi 0.000 0.500 0.500
Bi 0.500 0.000 0.500
Bi 0.500 0.500 0.000
S 0.000 0.000 0.500
S 0.000 0.500 0.000
S 0.500 0.000 0.000
S 0.500 0.500 0.500

Output
The density of states at the Fermi level comes out at 22.29 states/eV/cell.



Energies, relative to the best one, in eV/atom: i 0.000; ii 0.451.



--- i ---
Entry from Alexandria via LeMat-Bulk: an optimized crystal structure of Ca2BiSb (GGA-PBE).

Lattice parameters (Å, degrees): 5.275 5.275 4.328 90.00 90.00 90.00
Positions (direct):
Ca 0.000 0.500 0.000
Ca 0.500 0.000 0.000
Bi 0.000 0.000 0.500
Sb 0.500 0.500 0.500

Output
The density of states at the Fermi level comes out at 1.90 states/eV/cell.



--- ii ---
Entry from Alexandria via LeMat-Bulk: an optimized crystal structure of Ca2BiSb (GGA-PBE).

Lattice parameters (Å, degrees): 8.602 8.602 7.010 90.00 90.00 90.00
Positions (direct):
Ca 0.240 0.250 0.125
Ca 0.250 0.740 0.375
Ca 0.250 0.760 0.875
Ca 0.260 0.250 0.625
Ca 0.740 0.750 0.625
Ca 0.750 0.240 0.875
Ca 0.750 0.260 0.375
Ca 0.760 0.750 0.125
Bi 0.000 0.000 0.500
Bi 0.000 0.500 0.750
Bi 0.500 0.000 0.250
Bi 0.500 0.500 0.000
Sb 0.000 0.000 0.000
Sb 0.000 0.500 0.250
Sb 0.500 0.000 0.750
Sb 0.500 0.500 0.500

Output
The density of states at the Fermi level comes out at 2.80 states/eV/cell.



Energies, relative to the best one, in eV/atom: i 0.000; ii 0.138.



--- i ---
Entry from Alexandria via LeMat-Bulk: an optimized crystal structure of Ca2BiSb (GGA-PBE).

Lattice parameters (Å, degrees): 4.956 4.956 19.448 90.00 90.00 120.00
Positions (direct):
Ca 0.000 0.000 0.000
Ca 0.000 0.000 0.182
Ca 0.333 0.667 0.667
Ca 0.333 0.667 0.849
Ca 0.667 0.333 0.333
Ca 0.667 0.333 0.515
Bi 0.000 0.000 0.427
Bi 0.333 0.667 0.093
Bi 0.667 0.333 0.760
Sb 0.000 0.000 0.586
Sb 0.333 0.667 0.253
Sb 0.667 0.333 0.920

Output
The density of states at the Fermi level comes out at 1.86 states/eV/cell.



--- ii ---
Entry from Alexandria via LeMat-Bulk: an optimized crystal structure of Ca2BiSb (GGA-PBE).

Lattice parameters (Å, degrees): 4.108 4.108 26.755 90.00 90.00 120.00
Positions (direct):
Ca 0.000 0.000 0.245
Ca 0.000 0.000 0.755
Ca 0.333 0.667 0.422
Ca 0.333 0.667 0.912
Ca 0.667 0.333 0.088
Ca 0.667 0.333 0.578
Bi 0.000 0.000 0.000
Bi 0.333 0.667 0.667
Bi 0.667 0.333 0.333
Sb 0.000 0.000 0.500
Sb 0.333 0.667 0.167
Sb 0.667 0.333 0.833

Output
The density of states at the Fermi level comes out at 6.91 states/eV/cell.



--- iii ---
Entry from Alexandria via LeMat-Bulk: an optimized crystal structure of Ca2BiSb (GGA-PBE).

Lattice parameters (Å, degrees): 7.868 7.868 7.868 90.00 90.00 90.00
Positions (direct):
Ca 0.250 0.250 0.250
Ca 0.250 0.250 0.750
Ca 0.250 0.750 0.250
Ca 0.250 0.750 0.750
Ca 0.750 0.250 0.250
Ca 0.750 0.250 0.750
Ca 0.750 0.750 0.250
Ca 0.750 0.750 0.750
Bi 0.000 0.000 0.000
Bi 0.000 0.500 0.500
Bi 0.500 0.000 0.500
Bi 0.500 0.500 0.000
Sb 0.000 0.000 0.500
Sb 0.000 0.500 0.000
Sb 0.500 0.000 0.000
Sb 0.500 0.500 0.500

Output
The density of states at the Fermi level comes out at 12.32 states/eV/cell.



Energies, relative to the best one, in eV/atom: i 0.000; ii 0.081; iii 0.049.



--- i ---
Entry from Alexandria via LeMat-Bulk: an optimized crystal structure of Ca2Bi4Sb (GGA-PBE).

Lattice parameters (Å, degrees): 5.834 5.834 16.214 90.00 90.00 90.00
Positions (direct):
Ca 0.000 0.000 0.114
Ca 0.000 0.000 0.886
Ca 0.500 0.500 0.386
Ca 0.500 0.500 0.614
Bi 0.000 0.000 0.308
Bi 0.000 0.000 0.692
Bi 0.000 0.500 0.000
Bi 0.000 0.500 0.500
Bi 0.500 0.000 0.000
Bi 0.500 0.000 0.500
Bi 0.500 0.500 0.192
Bi 0.500 0.500 0.808
Sb 0.000 0.000 0.500
Sb 0.500 0.500 0.000

Output
The density of states at the Fermi level comes out at 11.12 states/eV/cell.



--- ii ---
Entry from Alexandria via LeMat-Bulk: an optimized crystal structure of Ca2Bi4Sb (GGA-PBE).

Lattice parameters (Å, degrees): 7.042 6.810 6.805 62.30 58.88 58.82
Positions (direct):
Ca 0.000 0.000 0.500
Ca 0.500 0.500 0.000
Bi 0.000 0.500 0.000
Bi 0.000 0.500 0.500
Bi 0.500 0.000 0.000
Bi 0.500 0.000 0.500
Sb 0.000 0.000 0.000

Output
The density of states at the Fermi level comes out at 2.52 states/eV/cell.



Energies, relative to the best one, in eV/atom: i 0.467; ii 0.000.



--- i ---
Entry from Alexandria via LeMat-Bulk: an optimized crystal structure of Ca2BiSb2 (GGA-PBE).

Lattice parameters (Å, degrees): 5.576 5.576 11.082 90.00 90.00 90.00
Positions (direct):
Ca 0.000 0.500 0.250
Ca 0.000 0.500 0.750
Ca 0.500 0.000 0.250
Ca 0.500 0.000 0.750
Bi 0.000 0.000 0.000
Bi 0.500 0.500 0.500
Sb 0.000 0.000 0.375
Sb 0.000 0.000 0.625
Sb 0.500 0.500 0.125
Sb 0.500 0.500 0.875

Output
The density of states at the Fermi level comes out at 8.36 states/eV/cell.



--- ii ---
Entry from Alexandria via LeMat-Bulk: an optimized crystal structure of Ca2BiSb2 (GGA-PBE).

Lattice parameters (Å, degrees): 8.490 8.490 4.300 90.00 90.00 90.00
Positions (direct):
Ca 0.150 0.350 0.000
Ca 0.350 0.850 0.000
Ca 0.650 0.150 0.000
Ca 0.850 0.650 0.000
Bi 0.000 0.000 0.500
Bi 0.500 0.500 0.500
Sb 0.153 0.653 0.500
Sb 0.347 0.153 0.500
Sb 0.653 0.847 0.500
Sb 0.847 0.347 0.500

Output
The density of states at the Fermi level comes out at 5.15 states/eV/cell.



--- iii ---
Entry from Alexandria via LeMat-Bulk: an optimized crystal structure of Ca2BiSb2 (GGA-PBE).

Lattice parameters (Å, degrees): 8.867 8.867 3.841 90.00 90.00 90.00
Positions (direct):
Ca 0.135 0.365 0.000
Ca 0.365 0.865 0.000
Ca 0.635 0.135 0.000
Ca 0.865 0.635 0.000
Bi 0.000 0.000 0.000
Bi 0.500 0.500 0.000
Sb 0.172 0.672 0.500
Sb 0.328 0.172 0.500
Sb 0.672 0.828 0.500
Sb 0.828 0.328 0.500

Output
The density of states at the Fermi level comes out at 7.39 states/eV/cell.



Energies, relative to the best one, in eV/atom: i 0.323; ii 0.000; iii 0.210.